Tb2GdHg after structural relaxation. Source: Alexandria via LeMat-Bulk, functional GGA-PBE.

abc: 3.6196 3.6196 8.9164
angles: 90.00 90.00 90.00
Space group P4/mmm (No. 123)
Unique sites:
Tb1 0.0000 0.0000 0.2218 (multiplicity 2)
Gd1 0.5000 0.5000 0.5000 (multiplicity 1)
Hg1 0.5000 0.5000 0.0000 (multiplicity 1)

Values from the calculation:
relative energy among the computed polymorphs = 0 kJ/mol of formula units
electronic total energy = -24.53 eV/cell
E_form = -0.221 eV/atom
theoretical density = 9.60 Mg/m³